No. 1
First-principles (PBE) data for a relaxed CaBe2Nb crystal, as listed in the Alexandria database.

Lattice parameters (Å, degrees): 6.9899 6.9899 6.1442 90.00 90.00 90.00
Space group I-42d (No. 122)
Symmetry-distinct sites (fractional):
Ca1 0.0000 0.0000 0.0000
Be1 0.2100 0.2500 0.6250
Nb1 0.0000 0.0000 0.5000

Computed properties:
Distance to the lowest polymorph of the same formula ... 1.334 eV/f.u.
ΔH_f (0 K) ... 0.86 eV per atom
Raw total energy ... -64.27 eV for the cell shown

No. 2
First-principles (PBE) data for a relaxed LaPPt2 crystal, as listed in the Alexandria database.

Lattice parameters (Å, degrees): 3.4694 3.4694 6.5798 90.00 90.00 90.00
Space group P4mm (No. 99)
Symmetry-distinct sites (fractional):
La1 0.0000 0.0000 0.0000
P1 0.5000 0.5000 0.3704
Pt1 0.0000 0.0000 0.4793
Pt2 0.5000 0.5000 0.7362

Computed properties:
ΔH_f (0 K) ... -0.69 eV per atom
Raw total energy ... -25.17 eV for the cell shown

No. 3
First-principles (PBE) data for a relaxed HfIn2Cu crystal, as listed in the Alexandria database.

Lattice parameters (Å, degrees): 3.1639 3.1639 28.1546 90.00 90.00 120.00
Space group R3m (No. 160, hexagonal axes)
Symmetry-distinct sites (fractional):
Hf1 0.0000 0.0000 0.0000
In1 0.0000 0.0000 0.2426
In2 0.0000 0.0000 0.4258
Cu1 0.0000 0.0000 0.8345

Computed properties:
ΔH_f (0 K) ... 0.05 eV per atom
Raw total energy ... -58.00 eV for the cell shown

No. 4
First-principles (PBE) data for a relaxed CdGa2IO6 crystal, as listed in the Alexandria database.

Lattice parameters (Å, degrees): 10.4883 9.4872 6.0064 90.00 108.29 90.00
Space group C2/c (No. 15)
Symmetry-distinct sites (fractional):
Cd1 0.0000 0.0997 0.2500
Ga1 0.2058 0.4150 0.2189
I1 0.0000 0.2823 0.7500
O1 0.1032 0.1055 0.6629
O2 0.1201 0.2439 0.0900
O3 0.1486 0.4681 0.4631

Computed properties:
Formation energy (no corrections) ... -1.080 eV per atom
Raw total energy ... -196.29 eV for the cell shown

No. 5
First-principles (PBE) data for a relaxed La2RhPb crystal, as listed in the Alexandria database.

Lattice parameters (Å, degrees): 8.3460 8.3460 6.6829 90.00 90.00 90.00
Space group I-42d (No. 122)
Symmetry-distinct sites (fractional):
La1 0.1912 0.7500 0.1250
Rh1 0.0000 0.0000 0.0000
Pb1 0.0000 0.0000 0.5000

Computed properties:
ΔH_f (0 K) ... -0.47 eV per atom
Raw total energy ... -91.18 eV for the cell shown

No. 6
First-principles (PBE) data for a relaxed CeCdRuO6 crystal, as listed in the Alexandria database.

Lattice parameters (Å, degrees): 5.5751 5.5751 9.2186 90.00 90.00 120.00
Space group P-31c (No. 163)
Symmetry-distinct sites (fractional):
Ce1 0.3333 0.6667 0.2500
Cd1 0.0000 0.0000 0.0000
Ru1 0.3333 0.6667 0.7500
O1 0.0395 0.3777 0.6341

Computed properties:
Formation energy (no corrections) ... -1.620 eV per atom
Raw total energy ... -120.91 eV for the cell shown

No. 7
First-principles (PBE) data for a relaxed HfFeReCl2 crystal, as listed in the Alexandria database.

Lattice parameters (Å, degrees): 4.6050 4.6050 5.3588 90.00 90.00 90.00
Space group P4/mmm (No. 123)
Symmetry-distinct sites (fractional):
Hf1 0.0000 0.0000 0.0000
Fe1 0.5000 0.5000 0.0000
Re1 0.0000 0.0000 0.5000
Cl1 0.0000 0.5000 0.5000

Computed properties:
Formation energy (no corrections) ... 1.052 eV per atom
Raw total energy ... -29.30 eV for the cell shown

No. 8
First-principles (PBE) data for a relaxed LiPrHoPt crystal, as listed in the Alexandria database.

Lattice parameters (Å, degrees): 7.1842 7.1842 7.1842 90.00 90.00 90.00
Space group F-43m (No. 216)
Symmetry-distinct sites (fractional):
Li1 0.0000 0.0000 0.0000
Pr1 0.2500 0.2500 0.2500
Ho1 0.2500 0.2500 0.7500
Pt1 0.0000 0.0000 0.5000

Computed properties:
ΔH_f (0 K) ... -0.58 eV per atom
Raw total energy ... -78.47 eV for the cell shown